(1)
NaP2PdO after structural relaxation. Source: Alexandria, functional PBE.

Cell: 4.650 4.650 4.330 Å, 90.00 90.00 90.00°
Space group P4/mmm (No. 123)
Unique sites:
Na  0.000  0.000  0.000 (multiplicity 1)
P  0.000  0.500  0.500 (multiplicity 2)
Pd  0.500  0.500  0.500 (multiplicity 1)
O  0.500  0.500  0.000 (multiplicity 1)

## Properties
The value obtained for the volume is 18.73 Å³ per atom.

***

(2)
Dy5Ho2Tm5 after structural relaxation. Source: Alexandria, functional PBE.

Cell: 14.877 4.962 11.095 Å, 90.00 116.54 90.00°
Space group C2/m (No. 12)
Unique sites:
Dy  0.000  0.000  0.000 (multiplicity 2)
Dy  0.166  0.000  0.500 (multiplicity 4)
Dy  0.250  0.000  0.249 (multiplicity 4)
Ho  0.083  0.000  0.751 (multiplicity 4)
Tm  0.000  0.500  0.500 (multiplicity 2)
Tm  0.083  0.500  0.250 (multiplicity 4)
Tm  0.167  0.500  0.000 (multiplicity 4)

## Properties
The value obtained for the volume is 30.53 Å³ per atom.

***

(3)
LaFeBRh2 after structural relaxation. Source: Alexandria, functional PBE.

Cell: 4.274 4.274 4.166 Å, 90.00 90.00 90.00°
Space group P4/mmm (No. 123)
Unique sites:
La  0.000  0.000  0.000 (multiplicity 1)
Fe  0.500  0.500  0.000 (multiplicity 1)
B  0.500  0.500  0.500 (multiplicity 1)
Rh  0.000  0.500  0.500 (multiplicity 2)

## Properties
The value obtained for the volume is 15.22 Å³ per atom.

***

(4)
Tb3NdMg8 after structural relaxation. Source: Alexandria, functional PBE.

Cell: 6.0784 6.0784 29.6188 Å, 90.00 90.00 120.00°
Space group R3m (No. 160, hexagonal axes)
Unique sites:
Tb  0.0000  0.0000  0.0000 (multiplicity 3)
Tb  0.0000  0.0000  0.1244 (multiplicity 3)
Tb  0.0000  0.0000  0.6255 (multiplicity 3)
Nd  0.0000  0.0000  0.5002 (multiplicity 3)
Mg  0.0000  0.0000  0.3124 (multiplicity 3)
Mg  0.0000  0.0000  0.8125 (multiplicity 3)
Mg  0.0007  0.5004  0.5632 (multiplicity 9)
Mg  0.1671  0.3343  0.3953 (multiplicity 9)

## Properties
The value obtained for the volume is 26.33 Å³ per atom.

***

(5)
Pm4ZrIn5 after structural relaxation. Source: Alexandria, functional PBE.

Cell: 3.845 3.845 18.424 Å, 90.00 90.00 90.00°
Space group P4/mmm (No. 123)
Unique sites:
Pm  0.000  0.000  0.104 (multiplicity 2)
Pm  0.000  0.000  0.312 (multiplicity 2)
Zr  0.000  0.000  0.500 (multiplicity 1)
In  0.500  0.500  0.000 (multiplicity 1)
In  0.500  0.500  0.208 (multiplicity 2)
In  0.500  0.500  0.416 (multiplicity 2)

## Properties
The value obtained for the volume is 27.23 Å³ per atom.

***

(6)
YNp3S4 after structural relaxation. Source: Alexandria, functional PBE.

Cell: 5.532 5.532 11.068 Å, 90.00 90.00 90.00°
Space group I4/mmm (No. 139)
Unique sites:
Y  0.000  0.000  0.000 (multiplicity 2)
Np  0.000  0.000  0.500 (multiplicity 2)
Np  0.000  0.500  0.250 (multiplicity 4)
S  0.000  0.000  0.252 (multiplicity 4)
S  0.000  0.500  0.000 (multiplicity 4)

## Properties
The value obtained for the volume is 21.17 Å³ per atom.

***

Let's list raw total energy in order: -0.30306, -0.33239, -0.54226, -0.19848, -0.33422, -0.67994 Ry/atom.